[1]
{
  "formula": "BeTePb2",
  "functional": "GGA-PBEsol",
  "state": "relaxed",
  "e_form_raw_ev_per_atom": 0.520,
  "sg": "Fm-3m",
  "lattice_angstrom": [[5.2845, 0.0000, 0.0000], [2.6422, 4.5765, 0.0000], [2.6422, 1.5255, 4.3147]],
  "species": ["Pb", "Pb", "Be", "Te"],
  "fractional_positions": [[0.2500, 0.2500, 0.2500], [0.7500, 0.7500, 0.7500], [0.0000, 0.0000, 0.0000], [0.5000, 0.5000, 0.5000]]
}

[2]
{
  "formula": "K3Sn2S3BrO12",
  "functional": "GGA-PBEsol",
  "state": "relaxed",
  "e_form_raw_ev_per_atom": -1.631,
  "sg": "P2_1",
  "lattice_angstrom": [[-5.2472, -5.4130, -0.1694], [5.6508, -5.6706, 6.1626], [-6.8392, 6.5040, 4.0185]],
  "species": ["K", "K", "K", "K", "K", "K", "Sn", "Sn", "Sn", "Sn", "S", "S", "S", "S", "S", "S", "Br", "Br", "O", "O", "O", "O", "O", "O", "O", "O", "O", "O", "O", "O", "O", "O", "O", "O", "O", "O", "O", "O", "O", "O", "O", "O"],
  "fractional_positions": [[0.0176, 0.6802, 0.3311], [0.5031, 0.6742, 0.3378], [0.2765, 0.9897, 0.7425], [0.7765, 0.0103, 0.2575], [0.5176, 0.3198, 0.6689], [0.0031, 0.3258, 0.6622], [0.8004, 0.2679, 0.0109], [0.8011, 0.7547, 0.7401], [0.3011, 0.2453, 0.2599], [0.3004, 0.7321, 0.9891], [0.7489, 0.4100, 0.3764], [0.7457, 0.6085, 0.0246], [0.7680, 0.9548, 0.6002], [0.2680, 0.0452, 0.3998], [0.2457, 0.3915, 0.9754], [0.2489, 0.5900, 0.6236], [0.0099, 0.9984, 0.9868], [0.5099, 0.0016, 0.0132], [0.8904, 0.3542, 0.2569], [0.5732, 0.3783, 0.2978], [0.7693, 0.5779, 0.4701], [0.2640, 0.6665, 0.5344], [0.2514, 0.5035, 0.1354], [0.7565, 0.5276, 0.1161], [0.9280, 0.8838, 0.6345], [0.6120, 0.8991, 0.6494], [0.5700, 0.6913, 0.0650], [0.7619, 0.8973, 0.4379], [0.8903, 0.7194, 0.0713], [0.2814, 0.8785, 0.3164], [0.7814, 0.1215, 0.6836], [0.3903, 0.2806, 0.9287], [0.2619, 0.1027, 0.5621], [0.0700, 0.3087, 0.9350], [0.1120, 0.1009, 0.3506], [0.4280, 0.1162, 0.3655], [0.2565, 0.4724, 0.8839], [0.7514, 0.4965, 0.8646], [0.7640, 0.3335, 0.4656], [0.2693, 0.4221, 0.5299], [0.0732, 0.6217, 0.7022], [0.3904, 0.6458, 0.7431]]
}

[3]
{
  "formula": "LaCd2Si",
  "functional": "GGA-PBEsol",
  "state": "relaxed",
  "e_form_raw_ev_per_atom": -0.290,
  "sg": "R3m",
  "lattice_angstrom": [[-2.7046, -2.0144, -2.9344], [-2.1168, -3.7704, 1.1343], [-5.8474, 1.0194, 1.2847]],
  "species": ["Cd", "Cd", "La", "Si"],
  "fractional_positions": [[0.9860, 0.9860, 0.0420], [0.7270, 0.7270, 0.8189], [0.5065, 0.5065, 0.4805], [0.2769, 0.2769, 0.1693]]
}

[4]
{
  "formula": "BiO2",
  "functional": "GGA-PBEsol",
  "state": "relaxed",
  "e_form_raw_ev_per_atom": -0.970,
  "relative_energy_mev_per_atom": 18.8,
  "sg": "C2/c",
  "lattice_angstrom": [[4.2520, -0.0059, 0.0289], [0.0071, 4.2520, 0.0289], [2.0825, 2.0761, 5.8777]],
  "species": ["Bi", "Bi", "O", "O", "O", "O"],
  "fractional_positions": [[0.1254, 0.8746, 0.2500], [0.8746, 0.1254, 0.7500], [0.0693, 0.3186, 0.3622], [0.3186, 0.0693, 0.8622], [0.6814, 0.9307, 0.1378], [0.9307, 0.6814, 0.6378]]
}

[5]
{
  "formula": "KPd2Rh",
  "functional": "GGA-PBEsol",
  "state": "relaxed",
  "sg": "Fm-3m",
  "ef_kj_per_mol_fu": 265,
  "lattice_angstrom": [[4.5870, 0.0000, 0.0000], [2.2935, 3.9725, 0.0000], [2.2935, 1.3242, 3.7453]],
  "species": ["K", "Rh", "Pd", "Pd"],
  "fractional_positions": [[0.0000, 0.0000, 0.0000], [0.5000, 0.5000, 0.5000], [0.2500, 0.2500, 0.2500], [0.7500, 0.7500, 0.7500]]
}

[6]
{
  "formula": "CuTc5",
  "functional": "GGA-PBEsol",
  "state": "relaxed",
  "relative_energy_mev_per_atom": 33.4,
  "sg": "Cm",
  "ef_kj_per_mol_fu": 58,
  "lattice_angstrom": [[2.7611, 0.0000, 0.0000], [-1.3805, 4.8571, 0.0047], [0.0000, -1.6423, 6.0705]],
  "species": ["Cu", "Tc", "Tc", "Tc", "Tc", "Tc"],
  "fractional_positions": [[0.0004, 0.0008, 0.0049], [0.6702, 0.3403, 0.3400], [0.3388, 0.6776, 0.6740], [0.3850, 0.7700, 0.2697], [0.0563, 0.1126, 0.6060], [0.7160, 0.4320, 0.9388]]
}

[7]
{
  "formula": "CaMgFe2",
  "functional": "GGA-PBEsol",
  "state": "relaxed",
  "sg": "I4/mmm",
  "ef_kj_per_mol_fu": 244,
  "lattice_angstrom": [[-3.5118, 1.5005, 1.5410], [-0.9744, -3.7436, 1.4247], [4.1277, 1.9562, 1.9993]],
  "species": ["Ca", "Fe", "Fe", "Mg"],
  "fractional_positions": [[0.0000, 0.5000, 0.0000], [0.7501, 0.7501, 0.5002], [0.2499, 0.2499, 0.4998], [0.5000, 0.0000, 0.0000]]
}

[8]
{
  "formula": "Ba2MnPd",
  "functional": "GGA-PBEsol",
  "state": "relaxed",
  "sg": "Fm-3m",
  "ef_kj_per_mol_fu": 119,
  "lattice_angstrom": [[-3.7198, -2.7913, 2.9278], [0.8144, -5.3176, 1.1225], [1.1649, -1.5775, 5.1337]],
  "species": ["Mn", "Ba", "Ba", "Pd"],
  "fractional_positions": [[0.0000, 0.0000, 0.0000], [0.2500, 0.2500, 0.2500], [0.7500, 0.7500, 0.7500], [0.5000, 0.5000, 0.5000]]
}

[9]
{
  "formula": "BeIn2Ni",
  "functional": "GGA-PBEsol",
  "state": "relaxed",
  "relative_energy_mev_per_atom": 0.0,
  "sg": "R3m",
  "ef_kj_per_mol_fu": 25,
  "lattice_angstrom": [[-1.2544, 2.0333, 3.1689], [1.1584, -1.0825, 3.6382], [3.7564, 3.1980, 1.9201]],
  "species": ["Ni", "Be", "In", "In"],
  "fractional_positions": [[0.5511, 0.5511, 0.3467], [0.1997, 0.1997, 0.4008], [0.9764, 0.9764, 0.0709], [0.7728, 0.7728, 0.6815]]
}

[10]
{
  "formula": "YSb2",
  "functional": "GGA-PBEsol",
  "state": "relaxed",
  "e_form_raw_ev_per_atom": -0.681,
  "sg": "C2/m",
  "lattice_angstrom": [[5.0047, 0.0000, 0.0000], [-2.5024, 5.3844, -0.0096], [0.0000, -1.6251, 5.8225]],
  "species": ["Sb", "Sb", "Sb", "Sb", "Y", "Y"],
  "fractional_positions": [[0.7043, 0.4085, 0.8309], [0.2957, 0.5915, 0.1691], [0.0000, 0.0000, 0.5000], [0.0000, 0.0000, 0.0000], [0.6217, 0.2433, 0.2934], [0.3783, 0.7567, 0.7066]]
}

[11]
{
  "formula": "Zr2ScGe2",
  "functional": "GGA-PBEsol",
  "state": "relaxed",
  "sg": "P4/mbm",
  "ef_kj_per_mol_fu": -418,
  "lattice_angstrom": [[-0.2125, 3.4477, 1.4212], [2.0492, -2.4933, 6.3548], [6.8143, 1.1413, -1.7496]],
  "species": ["Sc", "Sc", "Ge", "Ge", "Ge", "Ge", "Zr", "Zr", "Zr", "Zr"],
  "fractional_positions": [[0.0000, 0.0000, 0.0000], [0.0000, 0.5000, 0.5000], [0.0000, 0.3690, 0.8690], [0.0000, 0.8690, 0.6310], [0.0000, 0.6310, 0.1310], [0.0000, 0.1310, 0.3690], [0.5000, 0.1681, 0.6681], [0.5000, 0.6681, 0.8319], [0.5000, 0.8319, 0.3319], [0.5000, 0.3319, 0.1681]]
}

[12]
{
  "formula": "SN",
  "functional": "GGA-PBEsol",
  "state": "relaxed",
  "e_form_raw_ev_per_atom": 0.583,
  "sg": "P2_1/c",
  "lattice_angstrom": [[-0.3920, 0.5408, -3.7119], [-2.1703, -3.6117, -0.2970], [-7.9343, 2.2418, 1.1645]],
  "species": ["S", "S", "S", "S", "N", "N", "N", "N"],
  "fractional_positions": [[0.8799, 0.8955, 0.8925], [0.3799, 0.6045, 0.6075], [0.1201, 0.1045, 0.1075], [0.6201, 0.3955, 0.3925], [0.9392, 0.2639, 0.9259], [0.4392, 0.2361, 0.5741], [0.0608, 0.7361, 0.0741], [0.5608, 0.7639, 0.4259]]
}

[13]
{
  "formula": "Cu2NF",
  "functional": "GGA-PBEsol",
  "state": "relaxed",
  "e_form_raw_ev_per_atom": 0.330,
  "sg": "Fm-3m",
  "lattice_angstrom": [[3.7168, 0.0000, 0.0000], [1.8584, 3.2188, 0.0000], [1.8584, 1.0729, 3.0347]],
  "species": ["N", "Cu", "Cu", "F"],
  "fractional_positions": [[0.0000, 0.0000, 0.0000], [0.2500, 0.2500, 0.2500], [0.7500, 0.7500, 0.7500], [0.5000, 0.5000, 0.5000]]
}

[14]
{
  "formula": "Hg2PRh",
  "functional": "GGA-PBEsol",
  "state": "relaxed",
  "sg": "P4mm",
  "ef_kj_per_mol_fu": -50,
  "lattice_angstrom": [[2.9094, 0.0000, 0.0000], [0.0000, 2.9094, 0.0000], [0.0000, 0.0000, 8.7242]],
  "species": ["Hg", "Hg", "P", "Rh"],
  "fractional_positions": [[0.0000, 0.0000, 0.9594], [0.5000, 0.5000, 0.2650], [0.0000, 0.0000, 0.5675], [0.5000, 0.5000, 0.7081]]
}

[15]
{
  "formula": "Tl2HgPb",
  "functional": "GGA-PBEsol",
  "state": "relaxed",
  "sg": "I4/mmm",
  "ef_kj_per_mol_fu": 5,
  "lattice_angstrom": [[-4.4571, 1.3123, 0.2393], [-1.2723, -3.9317, -2.1374], [2.4345, -0.9596, 5.3794]],
  "species": ["Pb", "Tl", "Tl", "Hg"],
  "fractional_positions": [[0.0000, 0.0000, 0.0000], [0.7500, 0.2500, 0.5000], [0.2500, 0.7500, 0.5000], [0.5000, 0.5000, 0.0000]]
}

[16]
{
  "formula": "RbTaSb2Pt",
  "functional": "GGA-PBEsol",
  "state": "relaxed",
  "e_form_raw_ev_per_atom": 1.187,
  "sg": "P4/mmm",
  "lattice_angstrom": [[-0.1112, -5.1595, 0.0282], [2.7876, -0.0838, -4.3423], [4.5958, -0.0829, 2.9520]],
  "species": ["Sb", "Sb", "Rb", "Pt", "Ta"],
  "fractional_positions": [[0.0000, 0.5000, 0.0000], [0.5000, 0.0000, 0.0000], [0.0000, 0.0000, 0.5000], [0.0000, 0.0000, 0.0000], [0.5000, 0.5000, 0.5000]]
}

[17]
{
  "formula": "Tl2ReBr",
  "functional": "GGA-PBEsol",
  "state": "relaxed",
  "e_form_raw_ev_per_atom": 0.776,
  "sg": "Amm2",
  "lattice_angstrom": [[3.3228, 0.0000, 0.0000], [0.0000, 4.7028, 0.0000], [-1.6614, 0.0000, 5.5091]],
  "species": ["Re", "Tl", "Tl", "Br"],
  "fractional_positions": [[0.5435, 0.5000, 0.0869], [0.9762, 0.0000, 0.9525], [0.2855, 0.5000, 0.5710], [0.7002, 0.0000, 0.4004]]
}

[18]
{
  "formula": "MgBe2Pt2",
  "functional": "GGA-PBEsol",
  "state": "relaxed",
  "relative_energy_mev_per_atom": 0.0,
  "sg": "P4/mbm",
  "ef_kj_per_mol_fu": -363,
  "lattice_angstrom": [[-0.4460, 2.4422, 1.1502], [-2.0766, -3.0322, 5.6330], [6.3026, 0.0452, 2.3478]],
  "species": ["Be", "Be", "Be", "Be", "Mg", "Mg", "Pt", "Pt", "Pt", "Pt"],
  "fractional_positions": [[0.0000, 0.3771, 0.8771], [0.0000, 0.8771, 0.6229], [0.0000, 0.6229, 0.1229], [0.0000, 0.1229, 0.3771], [0.0000, 0.0000, 0.0000], [0.0000, 0.5000, 0.5000], [0.5000, 0.1694, 0.6694], [0.5000, 0.6694, 0.8306], [0.5000, 0.8306, 0.3306], [0.5000, 0.3306, 0.1694]]
}

[19]
{
  "formula": "Ge2PtICl",
  "functional": "GGA-PBEsol",
  "state": "relaxed",
  "e_form_raw_ev_per_atom": 1.129,
  "sg": "P4/mmm",
  "lattice_angstrom": [[4.7024, 0.0000, 0.0000], [0.0000, 4.7024, 0.0000], [0.0000, 0.0000, 5.8064]],
  "species": ["I", "Ge", "Ge", "Pt", "Cl"],
  "fractional_positions": [[0.0000, 0.0000, 0.5000], [0.0000, 0.5000, 0.0000], [0.5000, 0.0000, 0.0000], [0.5000, 0.5000, 0.5000], [0.0000, 0.0000, 0.0000]]
}

[20]
{
  "formula": "ZrAg2Pb",
  "functional": "GGA-PBEsol",
  "state": "relaxed",
  "sg": "F-43m",
  "ef_kj_per_mol_fu": 10,
  "lattice_angstrom": [[-2.9677, -3.8072, -0.1236], [-0.5124, -2.7897, 3.9080], [-4.1323, 0.0778, 2.4971]],
  "species": ["Ag", "Ag", "Pb", "Zr"],
  "fractional_positions": [[0.0000, 0.0000, 0.0000], [0.7500, 0.7500, 0.7500], [0.5000, 0.5000, 0.5000], [0.2500, 0.2500, 0.2500]]
}

[21]
{
  "formula": "Zn2CrCu",
  "functional": "GGA-PBEsol",
  "state": "relaxed",
  "sg": "F-43m",
  "ef_kj_per_mol_fu": 62,
  "lattice_angstrom": [[-2.1382, -3.3723, 1.2166], [1.9052, -3.0030, 2.1856], [-0.9172, -0.5461, 4.0355]],
  "species": ["Cr", "Cu", "Zn", "Zn"],
  "fractional_positions": [[0.5000, 0.5000, 0.5000], [0.2500, 0.2500, 0.2500], [0.0000, 0.0000, 0.0000], [0.7500, 0.7500, 0.7500]]
}

[22]
{
  "formula": "PSe2",
  "functional": "GGA-PBEsol",
  "state": "relaxed",
  "e_form_raw_ev_per_atom": 0.194,
  "relative_energy_mev_per_atom": 218.4,
  "sg": "Cm",
  "lattice_angstrom": [[3.3073, 0.0000, 0.0000], [-1.6536, 5.1805, -0.1873], [0.0000, -1.9806, 8.0058]],
  "species": ["P", "P", "Se", "Se", "Se", "Se"],
  "fractional_positions": [[0.0518, 0.1035, 0.0867], [0.6225, 0.2451, 0.3442], [0.3459, 0.6918, 0.7074], [0.4019, 0.8039, 0.2034], [0.1149, 0.2298, 0.5576], [0.6296, 0.2592, 0.9339]]
}

[23]
{
  "formula": "Li5GaGe2O8",
  "functional": "GGA-PBEsol",
  "state": "relaxed",
  "e_form_raw_ev_per_atom": -1.996,
  "sg": "P2_1",
  "lattice_angstrom": [[-3.0447, -1.3445, -3.8247], [5.0939, -0.6832, -3.7759], [0.8159, -10.2607, 2.9573]],
  "species": ["Li", "Li", "Li", "Li", "Li", "Li", "Li", "Li", "Li", "Li", "Ga", "Ga", "Ge", "Ge", "Ge", "Ge", "O", "O", "O", "O", "O", "O", "O", "O", "O", "O", "O", "O", "O", "O", "O", "O"],
  "fractional_positions": [[0.0649, 0.0009, 0.9171], [0.9351, 0.9991, 0.4171], [0.4579, 0.5196, 0.0780], [0.5421, 0.4804, 0.5780], [0.5584, 0.2563, 0.3389], [0.4416, 0.7437, 0.8389], [0.5661, 0.7470, 0.3341], [0.4339, 0.2530, 0.8341], [0.9324, 0.2366, 0.6704], [0.0676, 0.7634, 0.1704], [0.9325, 0.7422, 0.6654], [0.0675, 0.2578, 0.1654], [0.9214, 0.4832, 0.9107], [0.0786, 0.5168, 0.4107], [0.5545, 0.9979, 0.0838], [0.4455, 0.0021, 0.5838], [0.9625, 0.4988, 0.5700], [0.0375, 0.5012, 0.0700], [0.5458, 0.0023, 0.4303], [0.4542, 0.9977, 0.9303], [0.0434, 0.7164, 0.8297], [0.9566, 0.2836, 0.3297], [0.4354, 0.2305, 0.1632], [0.5646, 0.7695, 0.6632], [0.4538, 0.7779, 0.1649], [0.5462, 0.2221, 0.6649], [0.0466, 0.2654, 0.8370], [0.9534, 0.7346, 0.3370], [0.0878, 0.9753, 0.5929], [0.9122, 0.0247, 0.0929], [0.4192, 0.5001, 0.4134], [0.5808, 0.4999, 0.9134]]
}

[24]
{
  "formula": "ZrCdAg2",
  "functional": "GGA-PBEsol",
  "state": "relaxed",
  "sg": "F-43m",
  "ef_kj_per_mol_fu": -27,
  "lattice_angstrom": [[-1.7567, -3.7992, 2.1295], [-1.6290, -3.5842, -2.5601], [2.3564, -4.0604, -0.1220]],
  "species": ["Zr", "Ag", "Ag", "Cd"],
  "fractional_positions": [[0.2500, 0.2500, 0.2500], [0.0000, 0.0000, 0.0000], [0.7500, 0.7500, 0.7500], [0.5000, 0.5000, 0.5000]]
}

[25]
{
  "formula": "Li2SiRu",
  "functional": "GGA-PBEsol",
  "state": "relaxed",
  "e_form_raw_ev_per_atom": -0.274,
  "sg": "P4mm",
  "lattice_angstrom": [[-2.0619, 2.2067, -0.4567], [-2.2490, -2.0541, 0.2284], [-0.2690, 0.9278, 5.6965]],
  "species": ["Ru", "Si", "Li", "Li"],
  "fractional_positions": [[0.5000, 0.5000, 0.5306], [0.0000, 0.0000, 0.7123], [0.5000, 0.5000, 0.9920], [0.0000, 0.0000, 0.2651]]
}